VASP calculation (GGA-PBE) on crystalline SrHf2Fe2 at its relaxed geometry.

Calculated values
Magnetization ... 0.00 Bohr magnetons per cell
DFT formation energy ... 254 meV per atom
SG ... P4/mbm, No. 127
Crystal system ... tetragonal

a b c (Å): 7.8520 7.8520 3.1467
angles (deg): 90.00 90.00 90.00
Sites, in units of the cell vectors:
Sr (0.0000, 0.0000, 0.0000)
Sr (0.5000, 0.5000, 0.0000)
Hf (0.1372, 0.3628, 0.5000)
Hf (0.3628, 0.8628, 0.5000)
Hf (0.6372, 0.1372, 0.5000)
Hf (0.8628, 0.6372, 0.5000)
Fe (0.1377, 0.6377, 0.0000)
Fe (0.3623, 0.1377, 0.0000)
Fe (0.6377, 0.8623, 0.0000)
Fe (0.8623, 0.3623, 0.0000)



VASP calculation (GGA-PBE) on crystalline Sr2Hf2Fe at its relaxed geometry.

Calculated values
Magnetization ... 6.97 Bohr magnetons per cell
DFT formation energy ... 1307 meV per atom
SG ... P4/mbm, No. 127
Crystal system ... tetragonal

a b c (Å): 9.6400 9.6400 3.3168
angles (deg): 90.00 90.00 90.00
Sites, in units of the cell vectors:
Sr (0.1922, 0.3078, 0.0000)
Sr (0.3078, 0.8078, 0.0000)
Sr (0.6922, 0.1922, 0.0000)
Sr (0.8078, 0.6922, 0.0000)
Hf (0.1018, 0.6018, 0.5000)
Hf (0.3982, 0.1018, 0.5000)
Hf (0.6018, 0.8982, 0.5000)
Hf (0.8982, 0.3982, 0.5000)
Fe (0.0000, 0.0000, 0.0000)
Fe (0.5000, 0.5000, 0.0000)



VASP calculation (GGA-PBE) on crystalline Sr2HfZnFe at its relaxed geometry.

Calculated values
Magnetization ... 0.00 Bohr magnetons per cell
DFT formation energy ... 1041 meV per atom
SG ... P4/mmm, No. 123
Crystal system ... tetragonal

a b c (Å): 5.4297 5.4297 4.7622
angles (deg): 90.00 90.00 90.00
Sites, in units of the cell vectors:
Sr (0.0000, 0.5000, 0.0000)
Sr (0.5000, 0.0000, 0.0000)
Hf (0.0000, 0.0000, 0.5000)
Zn (0.5000, 0.5000, 0.5000)
Fe (0.5000, 0.5000, 0.0000)



VASP calculation (GGA-PBE) on crystalline SrHf2ZrFe at its relaxed geometry.

Calculated values
Magnetization ... 0.00 Bohr magnetons per cell
DFT formation energy ... 303 meV per atom
SG ... P4/mmm, No. 123
Crystal system ... tetragonal

a b c (Å): 4.9661 4.9661 5.0220
angles (deg): 90.00 90.00 90.00
Sites, in units of the cell vectors:
Sr (0.0000, 0.0000, 0.0000)
Hf (0.0000, 0.5000, 0.5000)
Hf (0.5000, 0.0000, 0.5000)
Zr (0.5000, 0.5000, 0.0000)
Fe (0.5000, 0.5000, 0.5000)



VASP calculation (GGA-PBE) on crystalline HfTa3Fe at its relaxed geometry.

Calculated values
Magnetization ... 0.00 Bohr magnetons per cell
DFT formation energy ... 581 meV per atom
SG ... Pm-3m, No. 221
Offset from the most stable computed form ... 0 meV per atom
Crystal system ... cubic

a b c (Å): 4.6164 4.6164 4.6164
angles (deg): 90.00 90.00 90.00
Sites, in units of the cell vectors:
Hf (0.0000, 0.0000, 0.0000)
Ta (0.0000, 0.5000, 0.5000)
Ta (0.5000, 0.0000, 0.5000)
Ta (0.5000, 0.5000, 0.0000)
Fe (0.5000, 0.5000, 0.5000)



VASP calculation (GGA-PBE) on crystalline HfTa2Fe2 at its relaxed geometry.

Calculated values
Magnetization ... 0.00 Bohr magnetons per cell
DFT formation energy ... -29 meV per atom
SG ... I4/mmm, No. 139
Offset from the most stable computed form ... 0 meV per atom
Crystal system ... tetragonal

a b c (Å): 5.6913 5.6913 5.6913
angles (deg): 137.06 137.06 62.34
Sites, in units of the cell vectors:
Hf (0.0000, 0.0000, 0.0000)
Ta (0.2500, 0.7500, 0.5000)
Ta (0.7500, 0.2500, 0.5000)
Fe (0.3900, 0.3900, 0.0000)
Fe (0.6100, 0.6100, 0.0000)